DFT (PBE-GGA) results for a relaxed structure of Th6Al2Tc.

M_tot: 0.000 μB/f.u.
space-group type: No. 189
crystal system: hexagonal
formation energy: -0.205 eV/atom

a b c (Å): 8.6498 8.6498 3.8089
angles (deg): 90.00 90.00 120.00
Element x y z (fractional)
1 Th 0.0000 0.2509 0.0000
2 Th 0.0000 0.5958 0.5000
3 Th 0.2509 0.0000 0.0000
4 Th 0.4042 0.4042 0.5000
5 Th 0.5958 0.0000 0.5000
6 Th 0.7491 0.7491 0.0000
7 Al 0.3333 0.6667 0.0000
8 Al 0.6667 0.3333 0.0000
9 Tc 0.0000 0.0000 0.5000

DFT (PBE-GGA) results for a relaxed structure of ZrMo2Ru.

M_tot: 0.000 μB/f.u.
space-group type: No. 5
energy above the most stable polymorph in this dataset: 3 meV/atom
crystal system: monoclinic
formation energy: -0.132 eV/atom

a b c (Å): 4.5430 4.5430 4.5387
angles (deg): 119.94 119.94 90.09
Element x y z (fractional)
1 Zr 0.0000 0.0000 0.0000
2 Mo 0.4998 0.5002 0.0000
3 Mo 0.7500 0.2500 0.5000
4 Ru 0.2501 0.7499 0.5000

DFT (PBE-GGA) results for a relaxed structure of Y3Tm5Se8.

E_form (uncorrected): -1.694 eV per atom
M_tot: 0.000 μB/f.u.
space-group type: No. 166
crystal system: trigonal

a b c (Å): 8.0991 8.0991 8.0991
angles (deg): 59.81 59.81 59.81
Element x y z (fractional)
1 Y 0.0000 0.5000 0.5000
2 Y 0.5000 0.0000 0.5000
3 Y 0.5000 0.5000 0.0000
4 Tm 0.0000 0.0000 0.0000
5 Tm 0.0000 0.0000 0.5000
6 Tm 0.0000 0.5000 0.0000
7 Tm 0.5000 0.0000 0.0000
8 Tm 0.5000 0.5000 0.5000
9 Se 0.2452 0.7500 0.7500
10 Se 0.2475 0.2475 0.2475
11 Se 0.2500 0.2500 0.7548
12 Se 0.2500 0.7548 0.2500
13 Se 0.7500 0.2452 0.7500
14 Se 0.7500 0.7500 0.2452
15 Se 0.7525 0.7525 0.7525
16 Se 0.7548 0.2500 0.2500

DFT (PBE-GGA) results for a relaxed structure of SmEuAlPd.

M_tot: 6.889 μB/f.u.
space-group type: No. 216
crystal system: cubic
formation energy: -0.428 eV/atom

a b c (Å): 5.1948 5.1948 5.1948
angles (deg): 60.00 60.00 60.00
Element x y z (fractional)
1 Sm 0.0000 0.0000 0.0000
2 Eu 0.5000 0.5000 0.5000
3 Al 0.7500 0.7500 0.7500
4 Pd 0.2500 0.2500 0.2500

DFT (PBE-GGA) results for a relaxed structure of BaTe2O6.

E_form (uncorrected): -1.328 eV per atom
M_tot: 0.000 μB/f.u.
space-group type: No. 227
energy above the most stable polymorph in this dataset: 201 meV/atom
crystal system: cubic

a b c (Å): 7.5289 7.5289 7.5289
angles (deg): 60.00 60.00 60.00
Element x y z (fractional)
1 Ba 0.1250 0.1250 0.1250
2 Ba 0.8750 0.8750 0.8750
3 Te 0.0000 0.5000 0.5000
4 Te 0.5000 0.0000 0.5000
5 Te 0.5000 0.5000 0.0000
6 Te 0.5000 0.5000 0.5000
7 O 0.1727 0.1727 0.5773
8 O 0.1727 0.5773 0.1727
9 O 0.1727 0.5773 0.5773
10 O 0.4227 0.4227 0.8273
11 O 0.4227 0.8273 0.4227
12 O 0.4227 0.8273 0.8273
13 O 0.5773 0.1727 0.1727
14 O 0.5773 0.1727 0.5773
15 O 0.5773 0.5773 0.1727
16 O 0.8273 0.4227 0.4227
17 O 0.8273 0.4227 0.8273
18 O 0.8273 0.8273 0.4227

DFT (PBE-GGA) results for a relaxed structure of TaCu2TcS.

E_form (uncorrected): 1.225 eV per atom
M_tot: 0.000 μB/f.u.
space-group type: No. 123
crystal system: tetragonal

a b c (Å): 4.6296 4.6296 4.2423
angles (deg): 90.00 90.00 90.00
Element x y z (fractional)
1 Ta 0.0000 0.0000 0.0000
2 Cu 0.0000 0.5000 0.5000
3 Cu 0.5000 0.0000 0.5000
4 Tc 0.5000 0.5000 0.5000
5 S 0.5000 0.5000 0.0000

| no. | final energy (eV/f.u.) |
| --- | --- |
| 1 | -64.2 |
| 2 | -40.0 |
| 3 | -96.7 |
| 4 | -25.6 |
| 5 | -49.9 |
| 6 | -28.4 |